A geometry-optimized Ac6SnRu3 structure. Source: Alexandria via LeMat-Bulk, functional GGA-PBE.

a b c (Å): 4.3824 12.4927 12.8193
angles (deg): 108.40 90.00 90.00
Atoms (fractional coordinates):
Ru1 0.7500 0.4602 0.8336
Ru2 0.2500 0.3163 0.4966
Ru3 0.2500 0.8365 0.9069
Ru4 0.2500 0.5398 0.1664
Ru5 0.7500 0.1635 0.0931
Ru6 0.7500 0.6837 0.5034
Ac1 0.2500 0.8583 0.5295
Ac2 0.2500 0.2135 0.2418
Ac3 0.2500 0.2954 0.7450
Ac4 0.7500 0.1417 0.4705
Ac5 0.7500 0.3872 0.0523
Ac6 0.7500 0.7865 0.7582
Ac7 0.7500 0.7046 0.2550
Ac8 0.2500 0.5305 0.3898
Ac9 0.2500 0.0761 0.9162
Ac10 0.7500 0.9239 0.0838
Ac11 0.2500 0.6128 0.9477
Ac12 0.7500 0.4695 0.6102
Sn1 0.2500 0.9459 0.2992
Sn2 0.7500 0.0541 0.7008

E_tot = -5.869 eV/atom
SG = P2_1/m, No. 11
Size of the total moment = 0.0 μB/cell
Formation enthalpy at 0 K = -0.221 eV/atom

---

A geometry-optimized In2AgIrSe structure. Source: Alexandria via LeMat-Bulk, functional GGA-PBE.

a b c (Å): 5.2766 4.8006 5.2766
angles (deg): 90.00 90.00 90.00
Atoms (fractional coordinates):
In1 0.5000 0.0000 0.0000
In2 0.0000 0.0000 0.5000
Ag1 0.5000 0.5000 0.5000
Se1 0.0000 0.5000 0.0000
Ir1 0.0000 0.0000 0.0000

E_tot = -3.860 eV/atom
SG = P4/mmm, No. 123
Size of the total moment = 0.0 μB/cell
Energy relative to the elements, uncorrected = 1.4 eV/f.u.

---

A geometry-optimized Sb2AsWI structure. Source: Alexandria via LeMat-Bulk, functional GGA-PBE.

a b c (Å): 5.2905 5.2905 5.3276
angles (deg): 90.00 90.00 90.00
Atoms (fractional coordinates):
Sb1 0.5000 0.0000 0.0000
Sb2 0.0000 0.5000 0.0000
As1 0.5000 0.5000 0.5000
I1 0.0000 0.0000 0.5000
W1 0.0000 0.0000 0.0000

E_tot = -4.513 eV/atom
SG = P4/mmm, No. 123
Size of the total moment = 1.3 μB/cell
Energy relative to the elements, uncorrected = 4.8 eV/f.u.

---

Question: Which value of E_tot does entry 1 give?
Answer: -5.869 eV/atom

---

Question: What is the formula in the first record?
Answer: Ac6SnRu3